Below is an optimized crystal structure of PmDyAl2Ga2, with properties calculated at the PBE-GGA level.

## Properties
The calculation puts the volume at 129 Å³ per cell. The value obtained for the density is 6.45 g cm⁻³. For the energy relative to the elements, the calculation gives -578 meV/atom.

Structure (CIF):
```
data_PmDyAl2Ga2
_chemical_formula_sum 'Pm1 Dy1 Al2 Ga2'
_cell_length_a 4.409
_cell_length_b 4.409
_cell_length_c 7.664
_cell_angle_alpha 90.00
_cell_angle_beta 90.00
_cell_angle_gamma 120.00
_symmetry_space_group_name_H-M 'P 1'
_symmetry_Int_Tables_number 1
loop_
_symmetry_equiv_pos_as_xyz
'x,y,z'
loop_
_atom_site_label
_atom_site_fract_x
_atom_site_fract_y
_atom_site_fract_z
Dy1 0.000 0.000 0.500
Pm1 0.000 0.000 0.000
Al1 0.333 0.667 0.256
Ga1 0.667 0.333 0.259
Al2 0.667 0.333 0.744
Ga2 0.333 0.667 0.741
```

Below is an optimized crystal structure of BaLaZr2Ag, with properties calculated at the PBE-GGA level.

## Properties
The calculation puts the volume at 171 Å³ per cell. The value obtained for the density is 5.49 g cm⁻³. For the energy relative to the elements, the calculation gives 868 meV/atom.

Structure (CIF):
```
data_BaLaZr2Ag
_chemical_formula_sum 'Ba1 La1 Zr2 Ag1'
_cell_length_a 5.387
_cell_length_b 5.908
_cell_length_c 5.387
_cell_angle_alpha 90.00
_cell_angle_beta 90.00
_cell_angle_gamma 90.00
_symmetry_space_group_name_H-M 'P 1'
_symmetry_Int_Tables_number 1
loop_
_symmetry_equiv_pos_as_xyz
'x,y,z'
loop_
_atom_site_label
_atom_site_fract_x
_atom_site_fract_y
_atom_site_fract_z
La1 0.000 0.000 0.000
Zr1 0.500 0.000 0.000
Ag1 0.000 0.500 0.000
Ba1 0.500 0.500 0.500
Zr2 0.000 0.000 0.500
```

Below is an optimized crystal structure of LiMg5Pd3, with properties calculated at the PBE-GGA level.

## Properties
The calculation puts the volume at 314 Å³ per cell. The value obtained for the density is 4.74 g cm⁻³. For the energy relative to the elements, the calculation gives -508 meV/atom.

Structure (CIF):
```
data_LiMg5Pd3
_chemical_formula_sum 'Li2 Mg10 Pd6'
_cell_length_a 5.648
_cell_length_b 8.007
_cell_length_c 8.006
_cell_angle_alpha 120.00
_cell_angle_beta 90.00
_cell_angle_gamma 90.00
_symmetry_space_group_name_H-M 'P 1'
_symmetry_Int_Tables_number 1
loop_
_symmetry_equiv_pos_as_xyz
'x,y,z'
loop_
_atom_site_label
_atom_site_fract_x
_atom_site_fract_y
_atom_site_fract_z
Mg1 0.000 0.667 0.333
Mg2 0.750 0.692 0.692
Mg3 0.750 0.000 0.308
Li1 0.000 0.000 0.000
Pd1 0.250 0.643 0.643
Mg4 0.500 0.333 0.667
Pd2 0.250 0.000 0.357
Mg5 0.250 0.000 0.692
Pd3 0.750 0.357 0.357
Mg6 0.250 0.308 0.308
Mg7 0.750 0.308 0.000
Mg8 0.000 0.333 0.667
Mg9 0.500 0.667 0.333
Li2 0.500 0.000 0.000
Pd4 0.750 0.643 0.000
Pd5 0.750 0.000 0.643
Mg10 0.250 0.692 0.000
Pd6 0.250 0.357 0.000
```

Below is an optimized crystal structure of Ac2SmI, with properties calculated at the PBE-GGA level.

## Properties
As for the polymorph energy (0 for the lowest one): 0.239 eV/atom. The uncorrected formation energy comes out at -0.15 eV/atom. The calculation puts the volume at 163 Å³ per cell. The value obtained for the density is 7.43 g cm⁻³.

Structure (CIF):
```
data_Ac2SmI
_chemical_formula_sum 'Ac2 Sm1 I1'
_cell_length_a 3.847
_cell_length_b 3.847
_cell_length_c 12.942
_cell_angle_alpha 81.45
_cell_angle_beta 81.45
_cell_angle_gamma 60.00
_symmetry_space_group_name_H-M 'P 1'
_symmetry_Int_Tables_number 1
loop_
_symmetry_equiv_pos_as_xyz
'x,y,z'
loop_
_atom_site_label
_atom_site_fract_x
_atom_site_fract_y
_atom_site_fract_z
Ac1 0.095 0.095 0.716
Ac2 0.905 0.905 0.284
Sm1 0.000 0.000 0.000
I1 0.500 0.500 0.500
```